Sr2PPt | GGA-PBEsol | relaxed

Lattice parameters (Å, degrees): 4.362 4.544 10.329 90.00 90.00 90.00
Space group Amm2 (No. 38)
Unique sites:
Sr 0.000 0.000 0.000 [2 per cell]
Sr 0.500 0.000 0.291 [2 per cell]
P 0.500 0.000 0.597 [2 per cell]
Pt 0.000 0.000 0.694 [2 per cell]

total energy: -5.01 eV per atom
energy of formation from the pure elements: -0.90 eV per atom
magnetization: 0.000 μB/atom
calculated volume: 204.7 Å³/cell


Al2NiAu | GGA-PBEsol | relaxed

Lattice parameters (Å, degrees): 3.734 3.734 7.906 90.00 90.00 90.00
Space group I-4m2 (No. 119)
Unique sites:
Al 0.000 0.000 0.000 [2 per cell]
Al 0.000 0.500 0.250 [2 per cell]
Ni 0.000 0.000 0.500 [2 per cell]
Au 0.000 0.500 0.750 [2 per cell]

total energy: -5.00 eV per atom
energy of formation from the pure elements: -0.43 eV per atom
magnetization: 0.000 μB/atom
calculated volume: 110.3 Å³/cell


Be3Fe4Si3TeO12 | GGA-PBEsol | relaxed

Lattice parameters (Å, degrees): 8.289 8.289 8.289 90.00 90.00 90.00
Space group P-43n (No. 218)
Unique sites:
Be 0.000 0.250 0.500 [6 per cell]
Fe 0.181 0.181 0.819 [8 per cell]
Si 0.000 0.500 0.250 [6 per cell]
Te 0.000 0.000 0.000 [2 per cell]
O 0.084 0.358 0.359 [24 per cell]

total energy: -7.70 eV per atom
uncorrected formation energy: -1.97 eV per atom
magnetization: 0.696 μB/atom
calculated volume: 569.5 Å³/cell


TeRu2 | GGA-PBEsol | relaxed

Lattice parameters (Å, degrees): 3.574 3.574 7.696 90.00 90.00 90.00
Space group I4/mmm (No. 139)
Unique sites:
Te 0.000 0.000 0.000 [2 per cell]
Ru 0.000 0.000 0.332 [4 per cell]

total energy: -7.36 eV per atom
distance to the lowest polymorph of the same formula: 24.8 kJ per mole of atoms
uncorrected formation energy: 0.60 eV per atom
magnetization: 0.000 μB/atom
calculated volume: 98.3 Å³/cell


IrPt2 | GGA-PBEsol | relaxed

Lattice parameters (Å, degrees): 5.499 3.893 8.224 90.00 90.00 90.00
Space group Pnma (No. 62)
Unique sites:
Ir 0.123 0.250 0.079 [4 per cell]
Pt 0.121 0.250 0.750 [4 per cell]
Pt 0.128 0.250 0.416 [4 per cell]

total energy: -7.84 eV per atom
distance to the lowest polymorph of the same formula: 2.3 kJ per mole of atoms
energy of formation from the pure elements: 0.08 eV per atom
magnetization: 0.000 μB/atom
calculated volume: 176.1 Å³/cell


In4HgSb | GGA-PBEsol | relaxed

Lattice parameters (Å, degrees): 8.599 8.599 8.599 90.00 90.00 90.00
Space group F-43m (No. 216)
Unique sites:
In 0.125 0.125 0.125 [16 per cell]
Hg 0.000 0.000 0.500 [4 per cell]
Sb 0.250 0.250 0.750 [4 per cell]

total energy: -2.67 eV per atom
uncorrected formation energy: 0.17 eV per atom
magnetization: 0.000 μB/atom
calculated volume: 635.9 Å³/cell


SbSeCl3 | GGA-PBEsol | relaxed

Lattice parameters (Å, degrees): 5.216 5.216 5.216 90.00 90.00 90.00
Space group Pm-3m (No. 221)
Unique sites:
Sb 0.000 0.000 0.000 [1 per cell]
Se 0.500 0.500 0.500 [1 per cell]
Cl 0.000 0.000 0.500 [3 per cell]

total energy: -2.95 eV per atom
uncorrected formation energy: -0.06 eV per atom
magnetization: 0.414 μB/atom
calculated volume: 141.9 Å³/cell


CaP2H8C2O6 | GGA-PBEsol | relaxed

Lattice parameters (Å, degrees): 20.443 5.651 7.136 90.00 107.43 90.00
Space group C2/c (No. 15)
Unique sites:
Ca 0.000 0.133 0.250 [4 per cell]
P 0.102 0.322 0.944 [8 per cell]
H 0.101 0.306 0.620 [8 per cell]
H 0.173 0.325 0.277 [8 per cell]
H 0.194 0.089 0.138 [8 per cell]
H 0.222 0.385 0.108 [8 per cell]
C 0.180 0.278 0.135 [8 per cell]
O 0.045 0.170 0.983 [8 per cell]
O 0.084 0.413 0.423 [8 per cell]
O 0.118 0.221 0.757 [8 per cell]

total energy: -6.10 eV per atom
magnetization: 0.000 μB/atom
calculated volume: 786.5 Å³/cell


AsOs3 | GGA-PBEsol | relaxed

Lattice parameters (Å, degrees): 2.817 9.058 4.514 90.00 90.00 90.00
Space group Imm2 (No. 44)
Unique sites:
As 0.000 0.000 0.000 [2 per cell]
Os 0.000 0.220 0.696 [4 per cell]
Os 0.000 0.500 0.938 [2 per cell]

total energy: -10.20 eV per atom
distance to the lowest polymorph of the same formula: 0.0 kJ per mole of atoms
energy of formation from the pure elements: 0.23 eV per atom
magnetization: 0.000 μB/atom
calculated volume: 115.2 Å³/cell


CrAg2Mo | GGA-PBEsol | relaxed

Lattice parameters (Å, degrees): 5.179 8.811 2.607 90.00 90.34 90.00
Space group C2/m (No. 12)
Unique sites:
Cr 0.000 0.000 0.000 [2 per cell]
Ag 0.250 0.250 0.500 [4 per cell]
Mo 0.000 0.500 0.000 [2 per cell]

total energy: -6.54 eV per atom
energy of formation from the pure elements: 0.62 eV per atom
magnetization: 0.141 μB/atom
calculated volume: 118.9 Å³/cell


TaSb2TeAs | GGA-PBEsol | relaxed

Lattice parameters (Å, degrees): 5.163 5.163 5.100 90.00 90.00 90.00
Space group P4/mmm (No. 123)
Unique sites:
Ta 0.000 0.000 0.000 [1 per cell]
Sb 0.000 0.500 0.500 [2 per cell]
Te 0.500 0.500 0.000 [1 per cell]
As 0.500 0.500 0.500 [1 per cell]

total energy: -4.79 eV per atom
uncorrected formation energy: 1.27 eV per atom
magnetization: 0.312 μB/atom
calculated volume: 135.9 Å³/cell


CoH2SeO5 | GGA-PBEsol | relaxed

Lattice parameters (Å, degrees): 6.902 8.078 7.504 90.00 116.05 90.00
Space group C2/c (No. 15)
Unique sites:
Co 0.250 0.250 0.000 [4 per cell]
H 0.084 0.050 0.700 [8 per cell]
Se 0.000 0.420 0.250 [4 per cell]
O 0.000 0.124 0.750 [4 per cell]
O 0.012 0.305 0.070 [8 per cell]
O 0.225 0.461 0.851 [8 per cell]

total energy: -5.72 eV per atom
magnetization: 0.333 μB/atom
calculated volume: 375.9 Å³/cell